1.
Material: TaTl2Br
Method: DFT, SCAN
State: PBEsol geometry

Output
The value obtained for the uncorrected formation energy is 17.07 kJ per mole of atoms. The calculation puts the calculated total energy at -57.513 eV/atom. The value obtained for the distance to the lowest polymorph of the same formula is 0 meV/atom. The space-group type is Imm2 (44). The density of states at the Fermi level is 1.690 states/eV/cell.

Unit cell a=3.133 b=4.625 c=7.995 alpha=106.81 beta=101.30 gamma=90.00
Positions (direct):
Tl 0.924 0.924 0.848
Tl 0.770 0.270 0.541
Br 0.585 0.585 0.170
Ta 0.221 0.721 0.442

2.
Material: CaLa2Tc
Method: DFT, SCAN
State: PBEsol geometry

Output
The calculation puts the calculated total energy at -32.668 eV/atom. The value obtained for the distance to the lowest polymorph of the same formula is 2 meV/atom. For the energy of formation, the calculation gives 0.065 eV/atom. The space-group type is P4/mmm (123). The density of states at the Fermi level is 3.588 states/eV/cell.

Unit cell a=3.507 b=3.507 c=9.808 alpha=90.00 beta=90.00 gamma=90.00
Positions (direct):
Ca 0.500 0.500 0.500
Tc 0.500 0.500 0.000
La 0.000 0.000 0.827
La 0.000 0.000 0.173

3.
Material: CaAgAs2
Method: DFT, SCAN
State: PBEsol geometry

Output
The calculation puts the calculated total energy at -20.748 eV/atom. For the energy of formation, the calculation gives -0.395 eV/atom. The space-group type is Cm (8). The density of states at the Fermi level is 0.878 states/eV/cell.

Unit cell a=3.613 b=4.680 c=5.460 alpha=110.73 beta=109.32 gamma=90.00
Positions (direct):
As 0.971 0.025 0.942
As 0.271 0.698 0.541
Ca 0.519 0.562 0.038
Ag 0.739 0.215 0.478

4.
Material: In2Ag2GeS6
Method: DFT, SCAN
State: PBEsol geometry

Output
The value obtained for the uncorrected formation energy is -46.19 kJ per mole of atoms. The calculation puts the calculated total energy at -19.239 eV/atom. The space-group type is Cc (9).

Unit cell a=7.057 b=7.057 c=12.142 alpha=72.97 beta=72.97 gamma=60.64
Positions (direct):
In 0.518 0.317 0.440
In 0.306 0.168 0.243
In 0.168 0.306 0.743
In 0.317 0.518 0.940
Ag 0.992 0.799 0.246
Ag 0.381 0.816 0.587
Ag 0.816 0.381 0.087
Ag 0.799 0.992 0.746
Ge 0.405 0.933 0.000
Ge 0.933 0.405 0.500
S 0.056 0.518 0.130
S 0.120 0.601 0.450
S 0.655 0.163 0.256
S 0.359 0.828 0.192
S 0.633 0.609 0.420
S 0.609 0.633 0.920
S 0.601 0.120 0.950
S 0.828 0.359 0.692
S 0.163 0.655 0.756
S 0.518 0.056 0.630
S 0.100 0.083 0.443
S 0.083 0.100 0.943

5.
Material: Tb4Si3Ge
Method: DFT, SCAN
State: PBEsol geometry

Output
The value obtained for the uncorrected formation energy is -84.68 kJ per mole of atoms. The calculation puts the calculated total energy at -30.401 eV/atom. The space-group type is Pmm2 (25). The density of states at the Fermi level is 3.943 states/eV/cell.

Unit cell a=3.828 b=4.258 c=10.525 alpha=90.00 beta=90.00 gamma=90.00
Positions (direct):
Ge 0.000 0.000 0.421
Tb 0.000 0.000 0.138
Tb 0.000 0.500 0.641
Tb 0.500 0.500 0.359
Tb 0.500 0.000 0.860
Si 0.000 0.500 0.924
Si 0.500 0.500 0.076
Si 0.500 0.000 0.580

6.
Material: Sr2CdHg
Method: DFT, SCAN
State: PBEsol geometry

Output
The calculation puts the calculated total energy at -36.325 eV/atom. For the energy of formation, the calculation gives -0.542 eV/atom. The space-group type is Fm-3m (225). The density of states at the Fermi level is 2.560 states/eV/cell.

Unit cell a=5.570 b=5.570 c=5.570 alpha=60.00 beta=60.00 gamma=60.00
Positions (direct):
Sr 0.250 0.250 0.250
Sr 0.750 0.750 0.750
Hg 0.000 0.000 0.000
Cd 0.500 0.500 0.500

no.,spin magnetization (μB per formula unit)
1,0.00
2,0.10
3,0.00
4,0.00
5,0.00
6,0.00